[1]
BaLi2NpCl8 | PBE-GGA | optimized geometry

Values from the calculation:
Mass density, g cm⁻³: 3.4
Crystal system: trigonal
Uncorrected energy, eV/atom: -4.6196

abc: 6.3357 6.3357 9.4077
angles: 90.00 90.00 120.00
Atoms (fractional coordinates):
Ba 0.0000 0.0000 0.0000
Li 0.3333 0.6667 0.7557
Li 0.6667 0.3333 0.2443
Np 0.0000 0.0000 0.5000
Cl 0.0180 0.6916 0.3234
Cl 0.3084 0.3265 0.3234
Cl 0.3265 0.0180 0.6766
Cl 0.3333 0.6667 0.9941
Cl 0.6667 0.3333 0.0059
Cl 0.6735 0.9820 0.3234
Cl 0.6916 0.6735 0.6766
Cl 0.9820 0.3084 0.6766



[2]
VCoP3 | PBE-GGA | optimized geometry

Values from the calculation:
Mass density, g cm⁻³: 4.1
Distance to the lowest polymorph of the same formula, meV per atom: 0
Crystal system: cubic

abc: 4.3378 4.3378 4.3378
angles: 90.00 90.00 90.00
Atoms (fractional coordinates):
V 0.0000 0.0000 0.0000
Co 0.5000 0.5000 0.5000
P 0.0000 0.5000 0.5000
P 0.5000 0.0000 0.5000
P 0.5000 0.5000 0.0000